This record from Alexandria describes a PBEsol-optimized structure of VSnO4. The functional is meta-GGA SCAN.

Unit cell a=3.099 b=4.605 c=4.605 alpha=90.28 beta=90.00 gamma=90.00
Last column: magnetic moment on the atom in μB.
Positions (direct):
Sn1 0.500 0.000 0.000  0.02
O1 0.000 0.791 0.791  -0.03
O2 0.000 0.209 0.209  -0.03
O3 0.500 0.316 0.684  -0.02
O4 0.500 0.684 0.316  -0.02
V1 0.000 0.500 0.500  1.03

Summary:
M_tot ... 1.00 μB per cell
Formation energy without anion corrections ... -2.19 eV/atom
E_tot ... -15.248 eV per atom